Computed, not measured: Ag2O3 after structural relaxation at the PBE level of DFT.

final energy: -3.866 eV/atom
mass density: 7.20 Mg/m³

Unit cell a=5.240 b=7.787 c=6.269 alpha=90.00 beta=107.98 gamma=90.00
Atoms (fractional coordinates):
Ag: 0.487 0.694 0.125
Ag: 0.971 0.974 0.238
Ag: 0.029 0.474 0.262
Ag: 0.513 0.194 0.375
Ag: 0.487 0.806 0.625
Ag: 0.971 0.526 0.738
Ag: 0.029 0.026 0.762
Ag: 0.513 0.306 0.875
O: 0.246 0.419 0.030
O: 0.266 0.064 0.099
O: 0.783 0.234 0.188
O: 0.217 0.734 0.312
O: 0.734 0.564 0.401
O: 0.754 0.919 0.470
O: 0.246 0.081 0.530
O: 0.266 0.436 0.599
O: 0.783 0.266 0.688
O: 0.217 0.766 0.812
O: 0.734 0.936 0.901
O: 0.754 0.581 0.970